Record 1
! Hf2TiRe PBE optimized geometry; values from VASP
! M_tot   0.48 μB per formula unit
! Distance to the lowest polymorph of the same formula   2.46 eV/f.u.
! SG   No. 122
! Calculated total energy   -38.37 eV per formula unit
&SYSTEM
  ibrav = 0, nat = 8, ntyp = 3
/
ATOMIC_SPECIES
Hf 178.49 Hf.upf
Ti 47.87 Ti.upf
Re 186.21 Re.upf
ATOMIC_POSITIONS angstrom
Hf 1.8704 1.6844 -0.7143
Hf 2.0564 -1.8704 3.5714
Hf 1.8704 2.0564 2.1429
Hf 1.6844 5.6112 0.7143
Ti 3.7408 0.0000 1.4286
Ti 0.0000 0.0000 2.8571
Re 0.0000 0.0000 0.0000
Re 0.0000 3.7408 1.4286
CELL_PARAMETERS angstrom
-3.7408 3.7408 2.8571
3.7408 -3.7408 2.8571
3.7408 3.7408 -2.8571

Record 2
! HfTi4Re5 PBE optimized geometry; values from VASP
! M_tot   0.00 μB per formula unit
! SG   No. 123
! Calculated total energy   -107.37 eV per formula unit
&SYSTEM
  ibrav = 0, nat = 10, ntyp = 3
/
ATOMIC_SPECIES
Hf 178.49 Hf.upf
Ti 47.87 Ti.upf
Re 186.21 Re.upf
ATOMIC_POSITIONS angstrom
Hf 0.0000 0.0000 0.0000
Ti 0.0000 0.0000 3.2221
Ti 0.0000 0.0000 6.3041
Ti 0.0000 0.0000 9.3752
Ti 0.0000 0.0000 12.4572
Re 1.5778 1.5778 1.7031
Re 1.5778 1.5778 4.7715
Re 1.5778 1.5778 7.8397
Re 1.5778 1.5778 10.9079
Re 1.5778 1.5778 13.9762
CELL_PARAMETERS angstrom
3.1556 0.0000 0.0000
0.0000 3.1556 0.0000
0.0000 0.0000 15.6793

Record 3
! HfTiRe PBE optimized geometry; values from VASP
! M_tot   0.00 μB per formula unit
! Distance to the lowest polymorph of the same formula   0.17 eV/f.u.
! SG   No. 63
! Calculated total energy   -31.20 eV per formula unit
&SYSTEM
  ibrav = 0, nat = 6, ntyp = 3
/
ATOMIC_SPECIES
Hf 178.49 Hf.upf
Ti 47.87 Ti.upf
Re 186.21 Re.upf
ATOMIC_POSITIONS angstrom
Hf 1.6323 5.8839 3.4658
Hf 1.6323 -5.8839 1.1553
Ti 1.6323 3.7728 1.1553
Ti 1.6323 -3.7728 3.4658
Re 1.6323 1.2337 3.4658
Re 1.6323 -1.2337 1.1553
CELL_PARAMETERS angstrom
1.6323 -7.0173 0.0000
1.6323 7.0173 0.0000
0.0000 0.0000 4.6211